# 1
## DyBe4Au12 (PBE)

Data for a relaxed structure of DyBe4Au12.

## Properties
Its energy of formation from the pure elements is -0.1222 eV per atom. As for the crystal system: cubic. For the total energy, the calculation gives -3.5831 eV per atom. The total magnetic moment comes out at 0.000 μB per formula unit.

Cell lengths 8.4456, 8.4456, 8.4456 Å; angles 90.00, 90.00, 90.00 degrees
Closest atoms and distances in Å follow each position.
Space group Im-3 (No. 204)
Unique sites:
Dy: 0.0000 0.0000 0.0000 x2  12 Au 3.14
Be: 0.2500 0.2500 0.2500 x8  6 Au 2.32
Au: 0.0000 0.1696 0.3308 x24  2 Be 2.32

***

# 2
## Nd2YTm3 (PBE)

Data for a relaxed structure of Nd2YTm3.

## Properties
Its energy of formation from the pure elements is 0.1203 eV per atom. As for the crystal system: monoclinic. For the total energy, the calculation gives -4.7821 eV per atom. The distance to the lowest polymorph of the same formula is 0.000 eV per atom. The total magnetic moment comes out at 0.000 μB per formula unit.

Cell lengths 17.7838, 3.4959, 14.1818 Å; angles 90.00, 117.27, 90.00 degrees
Closest atoms and distances in Å follow each position.
Space group C2/m (No. 12)
Unique sites:
Nd: 0.1560 0.0000 0.4686 x4  5 Tm 3.41-3.75, 2 Y 3.46-3.56, 4 Nd 3.50-3.51
Nd: 0.1807 0.5000 0.8810 x4  5 Tm 3.38-3.53, 4 Nd 3.50-3.59, 2 Y 3.52
Y: 0.0625 0.0000 0.6429 x4  4 Nd 3.46-3.56, 3 Y 3.50-3.62, 4 Tm 3.69-3.79
Tm: 0.0393 0.5000 0.2074 x4  8 Tm 3.50-3.64, 3 Nd 3.52-3.75, 2 Y 3.79
Tm: 0.0981 0.0000 0.0258 x4  6 Tm 3.22-3.54, 3 Nd 3.49-3.53
Tm: 0.2365 0.0000 0.2914 x4  4 Nd 3.38-3.51, 5 Tm 3.43-3.60, 2 Y 3.69